Computed, not measured: a geometry-optimized ZrRe4 structure at the PBE level of DFT.

Geometry as CIF:
```
data_ZrRe4
_space_group_name_H-M_alt 'P m -3 m'
_space_group_IT_number 221
_space_group_name_Hall '-P 4 2 3'
_cell_length_a 4.6697
_cell_length_b 4.6697
_cell_length_c 4.6697
_cell_angle_alpha 90.00
_cell_angle_beta 90.00
_cell_angle_gamma 90.00
loop_
_atom_site_label
_atom_site_type_symbol
_atom_site_fract_x
_atom_site_fract_y
_atom_site_fract_z
Zr1 Zr 0.0000 0.0000 0.0000
Re1 Re 0.0000 0.0000 0.5000
Re2 Re 0.5000 0.5000 0.5000
```

Values from the calculation:
- calculated total energy (eV per atom) = -8.731
- energy of formation (eV per atom) = 2.94


Computed, not measured: a geometry-optimized Ac2NpInN5 structure at the PBE level of DFT.

Geometry as CIF:
```
data_Ac2NpInN5
_space_group_name_H-M_alt 'C m c 21'
_space_group_IT_number 36
_cell_length_a 3.7671
_cell_length_b 14.2556
_cell_length_c 10.9604
_cell_angle_alpha 90.00
_cell_angle_beta 90.00
_cell_angle_gamma 90.00
loop_
_space_group_symop_operation_xyz
'x,y,z'
'-x,-y,z+1/2'
'-x,y,z'
'x,-y,z+1/2'
'x+1/2,y+1/2,z'
'-x+1/2,-y+1/2,z+1/2'
'-x+1/2,y+1/2,z'
'x+1/2,-y+1/2,z+1/2'
loop_
_atom_site_label
_atom_site_type_symbol
_atom_site_fract_x
_atom_site_fract_y
_atom_site_fract_z
Ac1 Ac 0.0000 0.1159 0.0000
Ac2 Ac 0.0000 0.1395 0.5967
Np1 Np 0.0000 0.4589 0.7824
In1 In 0.0000 0.2286 0.3196
N1 N 0.0000 0.0515 0.3663
N2 N 0.0000 0.2906 0.9627
N3 N 0.0000 0.3140 0.6925
N4 N 0.0000 0.3902 0.3233
N5 N 0.0000 0.5000 0.1049
```

Values from the calculation:
- ΔE_f (raw) (kJ per mole of atoms) = -70.9
- calculated total energy (eV per atom) = -8.015